w) A plane-wave DFT calculation with PBE-GGA was carried out for an optimized crystal structure of Li6AgSn2.

The volume is 318.0 Å³/cell.

The space group is C2/m (No. 12) and the conventional cell measures 7.4041, 7.9789 and 5.4221 Å, with angles of 90.00, 96.85 and 90.00 degrees. The inequivalent atoms are Li at (0.0000, 0.1692, 0.0000), Li at (0.1654, 0.3346, 0.6696), Ag at (0.0000, 0.0000, 0.5000) and Sn at (0.1788, 0.5000, 0.1771).

=====

x) A plane-wave DFT calculation with PBE-GGA was carried out for an optimized crystal structure of Li6AgSn2.

The volume is 317.7 Å³/cell.

The space group is Pnnm (No. 58) and the conventional cell measures 8.2269, 8.4199 and 4.5870 Å, with angles of 90.00, 90.00 and 90.00 degrees. The inequivalent atoms are Li at (0.0089, 0.1789, 0.0000), Li at (0.1698, 0.3946, 0.5000), Li at (0.1714, 0.0687, 0.5000), Ag at (0.0000, 0.5000, 0.0000) and Sn at (0.1566, 0.7283, 0.5000).

=====

The structure shown above that is least stable: x).